[1]
A plane-wave DFT calculation with GGA-PBE was carried out for a relaxed structure of GdHoGe2Pt4.

The space group is P-6m2 (No. 187) and the conventional cell measures 4.3839, 4.3839 and 9.1434 Å, with angles of 90.00, 90.00 and 120.00 degrees. The asymmetric unit holds Gd at (0.0000, 0.0000, 0.0000), Ho at (0.3333, 0.6667, 0.5000), Ge at (0.6667, 0.3333, 0.2514), Pt at (0.0000, 0.0000, 0.3364) and Pt at (0.3333, 0.6667, 0.1681).

The relative energy among the computed polymorphs comes out at 0.059 eV per atom.

***

[2]
A plane-wave DFT calculation with GGA-PBE was carried out for a relaxed structure of GdHoGe2Pt4.

The space group is Amm2 (No. 38) and the conventional cell measures 7.1982, 3.9513 and 10.3340 Å, with angles of 90.00, 90.00 and 90.00 degrees. The asymmetric unit holds Gd at (0.0000, 0.0000, 0.0000), Ho at (0.5000, 0.0000, 0.1027), Ge at (0.0000, 0.0000, 0.2839), Ge at (0.5000, 0.0000, 0.8192), Pt at (0.2003, 0.0000, 0.6881) and Pt at (0.3018, 0.0000, 0.4157).

The relative energy among the computed polymorphs comes out at 0.000 eV per atom.

***

[3]
A plane-wave DFT calculation with GGA-PBE was carried out for a relaxed structure of GdHoTa2Ge2.

The space group is P4mm (No. 99) and the conventional cell measures 4.0310, 4.0310 and 7.8661 Å, with angles of 90.00, 90.00 and 90.00 degrees. The asymmetric unit holds Gd at (0.0000, 0.0000, 0.0000), Ho at (0.5000, 0.5000, 0.2975), Ta at (0.0000, 0.5000, 0.6478), Ge at (0.0000, 0.0000, 0.4023) and Ge at (0.5000, 0.5000, 0.8935).

***

[4]
A plane-wave DFT calculation with GGA-PBE was carried out for a relaxed structure of GdHoZn2Ge2.

The space group is P6_3/mmc (No. 194) and the conventional cell measures 4.2456, 4.2456 and 15.6936 Å, with angles of 90.00, 90.00 and 120.00 degrees. The asymmetric unit holds Gd at (0.0000, 0.0000, 0.0000), Ho at (0.0000, 0.0000, 0.2500), Zn at (0.3333, 0.6667, 0.1491) and Ge at (0.3333, 0.6667, 0.6154).

The relative energy among the computed polymorphs comes out at 0.000 eV per atom.

***

| no. | total magnetic moment (μB/cell) | final energy (eV for the cell shown) |
| --- | --- | --- |
| 1 | 0.0 | -50.4 |
| 2 | 0.0 | -101.8 |
| 3 | 1.1 | -45.7 |
| 4 | 0.0 | -50.1 |